# 1
Below is a geometry-optimized MgRhW2 structure, with properties calculated at the PBE level.

The space group is Pmm2 (No. 25) and the conventional cell measures 2.759, 4.030 and 5.716 Å, with angles of 90.00, 90.00 and 90.00 degrees. The inequivalent atoms are Mg at (0.000, 0.000, 0.000), Rh at (0.500, 0.500, 0.218), W at (0.000, 0.000, 0.488) and W at (0.500, 0.500, 0.729).

Its raw total energy is -8.541 eV/atom. The calculation puts the formation energy at 0.172 eV/atom.


# 2
Below is a geometry-optimized MgRhW2 structure, with properties calculated at the PBE level.

The space group is C2/m (No. 12) and the conventional cell measures 5.233, 9.148 and 2.749 Å, with angles of 90.00, 106.36 and 90.00 degrees. The inequivalent atoms are Mg at (0.000, 0.000, 0.000), Rh at (0.000, 0.500, 0.000) and W at (0.250, 0.250, 0.500).

Its raw total energy is -8.530 eV/atom. The calculation puts the formation energy at 0.183 eV/atom.


# 3
Below is a geometry-optimized MgRhW2 structure, with properties calculated at the PBE level.

The space group is P4mm (No. 99) and the conventional cell measures 2.798, 2.798 and 8.195 Å, with angles of 90.00, 90.00 and 90.00 degrees. The inequivalent atoms are Mg at (0.000, 0.000, 0.000), Rh at (0.500, 0.500, 0.236), W at (0.000, 0.000, 0.454) and W at (0.500, 0.500, 0.722).

Its raw total energy is -8.651 eV/atom. The calculation puts the formation energy at 0.062 eV/atom.


# 4
Below is a geometry-optimized MgRh4W structure, with properties calculated at the PBE level.

The space group is C2/m (No. 12) and the conventional cell measures 9.278, 2.785 and 7.665 Å, with angles of 90.00, 114.86 and 90.00 degrees. The inequivalent atoms are Mg at (0.000, 0.000, 0.000), Rh at (0.165, 0.500, 0.826), Rh at (0.166, 0.500, 0.343) and W at (0.000, 0.000, 0.500).

Its raw total energy is -7.489 eV/atom. The calculation puts the formation energy at -0.164 eV/atom.


# 5
Below is a geometry-optimized MgRhW2 structure, with properties calculated at the PBE level.

The space group is Cmmm (No. 65) and the conventional cell measures 3.853, 3.951 and 8.481 Å, with angles of 90.00, 90.00 and 90.00 degrees. The inequivalent atoms are Mg at (0.000, 0.000, 0.000), Rh at (0.000, 0.000, 0.500) and W at (0.000, 0.500, 0.268).

Its raw total energy is -8.484 eV/atom. The calculation puts the formation energy at 0.230 eV/atom.


# 6
Below is a geometry-optimized MgRhW2 structure, with properties calculated at the PBE level.

The space group is Cmm2 (No. 35) and the conventional cell measures 3.271, 4.466 and 8.799 Å, with angles of 90.00, 90.00 and 90.00 degrees. The inequivalent atoms are Mg at (0.000, 0.000, 0.000), Rh at (0.000, 0.500, 0.242), W at (0.000, 0.000, 0.476) and W at (0.000, 0.500, 0.727).

Its raw total energy is -8.660 eV/atom. The calculation puts the formation energy at 0.053 eV/atom.


# 7
Below is a geometry-optimized MgRhW2 structure, with properties calculated at the PBE level.

The space group is Pmmm (No. 47) and the conventional cell measures 3.081, 4.338 and 4.713 Å, with angles of 90.00, 90.00 and 90.00 degrees. The inequivalent atoms are Mg at (0.000, 0.000, 0.000), Rh at (0.500, 0.500, 0.000), W at (0.000, 0.500, 0.500) and W at (0.500, 0.000, 0.500).

Its raw total energy is -8.601 eV/atom. The calculation puts the formation energy at 0.112 eV/atom.


# 8
Below is a geometry-optimized MgRh2W structure, with properties calculated at the PBE level.

The space group is Cmm2 (No. 35) and the conventional cell measures 3.031, 4.556 and 9.033 Å, with angles of 90.00, 90.00 and 90.00 degrees. The inequivalent atoms are Mg at (0.000, 0.000, 0.000), Rh at (0.000, 0.000, 0.513), Rh at (0.000, 0.500, 0.766) and W at (0.000, 0.500, 0.276).

Its raw total energy is -7.188 eV/atom. The calculation puts the formation energy at 0.124 eV/atom.


# 9
Below is a geometry-optimized MgRh2W structure, with properties calculated at the PBE level.

The space group is P4mm (No. 99) and the conventional cell measures 3.408, 3.408 and 5.408 Å, with angles of 90.00, 90.00 and 90.00 degrees. The inequivalent atoms are Mg at (0.000, 0.000, 0.000), Rh at (0.000, 0.000, 0.500), Rh at (0.500, 0.500, 0.192) and W at (0.500, 0.500, 0.687).

Its raw total energy is -7.233 eV/atom. The calculation puts the formation energy at 0.079 eV/atom.


# 10
Below is a geometry-optimized Mg2RhW structure, with properties calculated at the PBE level.

The space group is Fm-3m (No. 225) and the conventional cell measures 6.419, 6.419 and 6.419 Å, with angles of 90.00, 90.00 and 90.00 degrees. The inequivalent atoms are Mg at (0.250, 0.250, 0.250), Rh at (0.000, 0.000, 0.000) and W at (0.000, 0.000, 0.500).

Its raw total energy is -5.396 eV/atom. The calculation puts the formation energy at 0.477 eV/atom.


# 11
Below is a geometry-optimized MgRh2W structure, with properties calculated at the PBE level.

The space group is Pmmm (No. 47) and the conventional cell measures 2.865, 3.575 and 5.967 Å, with angles of 90.00, 90.00 and 90.00 degrees. The inequivalent atoms are Mg at (0.000, 0.000, 0.000), Rh at (0.500, 0.500, 0.260) and W at (0.000, 0.000, 0.500).

Its raw total energy is -7.566 eV/atom. The calculation puts the formation energy at -0.254 eV/atom.


# 12
Below is a geometry-optimized Mg2RhW structure, with properties calculated at the PBE level.

The space group is Imm2 (No. 44) and the conventional cell measures 2.898, 4.787 and 9.789 Å, with angles of 90.00, 90.00 and 90.00 degrees. The inequivalent atoms are Mg at (0.000, 0.000, 0.000), Mg at (0.000, 0.500, 0.217), Rh at (0.000, 0.500, 0.732) and W at (0.000, 0.000, 0.452).

Its raw total energy is -5.717 eV/atom. The calculation puts the formation energy at 0.156 eV/atom.